Record 1
{"formula": "ScTa2Re", "functional": "PBE", "state": "optimized geometry", "cell": [[5.407, -0.009, 0.000], [2.543, 4.771, 0.000], [-3.975, -2.381, 2.786]], "species": ["Re", "Sc", "Ta", "Ta"], "frac_coords": [[0.500, 0.500, 0.000], [0.750, 0.250, 0.500], [0.000, 0.000, 0.000], [0.250, 0.750, 0.500]], "spacegroup": "No. 119", "delta_e_f_ev_per_fu": 0.82, "m_tot_mub_per_cell": 0.0}


Record 2
{"formula": "CaOs2W", "functional": "PBE", "state": "optimized geometry", "cell": [[-1.199, 5.262, -0.678], [-3.141, 1.155, -4.288], [0.471, -2.601, 4.754]], "species": ["Ca", "Os", "Os", "W"], "frac_coords": [[0.750, 0.250, 0.500], [0.027, 0.027, 0.000], [0.473, 0.473, 0.000], [0.250, 0.750, 0.500]], "spacegroup": "No. 71", "delta_e_f_ev_per_fu": 2.55, "m_tot_mub_per_cell": 0.0}